First-principles (PBE) data for Ca3MoAu after structural relaxation, as listed in the Alexandria database.

a = 5.363 Å, b = 5.363 Å, c = 5.363 Å
α = 90.00°, β = 90.00°, γ = 90.00°
Fractional coordinates of all 5 atoms:
Ca  0.500  0.000  0.000
Ca  0.000  0.500  0.000
Ca  0.000  0.000  0.500
Mo  0.000  0.000  0.000
Au  0.500  0.500  0.500

## Properties
Mass density = 4.45 g/cm³
VASP energy = -3.297 eV/atom
Offset from the most stable computed form = 1.14 eV/f.u.
Total moment = 0.00 μB/f.u.
E_form = 0.73 eV/atom